Er3Th3Sc2 | PBE-GGA | relaxed

Geometry as POSCAR:
```
Er3Th3Sc2
1.0
4.9239 0.0000 -0.6734
0.0000 4.9415 0.0000
-1.1492 -2.4707 9.9155
Sc Er Th
2 3 3
Cartesian
0.6575 0.0000 4.7926 Sc
3.1172 2.4707 4.4495 Sc
2.8030 0.0000 2.1595 Er
0.0000 0.0000 0.0000 Er
0.9716 2.4707 7.0826 Er
2.4620 2.4707 -0.3367 Th
0.3387 2.4707 2.4806 Th
3.4359 0.0000 6.7614 Th
```

Energy relative to the elements ... 0.041 eV/atom
SG ... No. 71
Offset from the most stable computed form ... 0.003 eV per atom
Energy ... -48.3 eV for the cell shown
Fermi-level density of states ... 11.28 states/eV/f.u.

---

Mg2Pd2F | PBE-GGA | relaxed

Geometry as POSCAR:
```
Mg2Pd2F
1.0
3.6742 0.0000 0.0000
0.0000 3.6742 0.0000
1.8371 1.8371 7.1001
Pd F Mg
2 1 2
Cartesian
3.6742 1.8371 3.5500 Pd
1.8371 3.6742 3.5500 Pd
0.0000 0.0000 0.0000 F
1.8371 1.8371 1.5697 Mg
3.6742 3.6742 5.5304 Mg
```

SG ... No. 139
Offset from the most stable computed form ... 0.297 eV per atom
Energy ... -18.9 eV for the cell shown
Fermi-level density of states ... 1.95 states/eV/f.u.